Record 1
Entry from the Alexandria database: Ta2Be2Nb after structural relaxation (PBE-GGA).

Cell lengths 6.4991, 6.4991, 3.3713 Å; angles 90.00, 90.00, 90.00 degrees
Closest atoms and distances in Å follow each position.
Atoms (fractional coordinates):
Be (0.3870, 0.8870, 0.0000)  1 Be 2.08
Be (0.8870, 0.6130, 0.0000)  1 Be 2.08
Be (0.6130, 0.1130, 0.0000)  1 Be 2.08
Be (0.1130, 0.3870, 0.0000)  1 Be 2.08
Nb (0.0000, 0.0000, 0.0000)  4 Be 2.62, 8 Ta 2.92
Nb (0.5000, 0.5000, 0.0000)  4 Be 2.62, 8 Ta 2.92
Ta (0.1793, 0.6793, 0.5000)  6 Be 2.55-2.58
Ta (0.6793, 0.8207, 0.5000)  6 Be 2.55-2.58
Ta (0.8207, 0.3207, 0.5000)  6 Be 2.55-2.58
Ta (0.3207, 0.1793, 0.5000)  6 Be 2.55-2.58

Its crystal system is tetragonal. Its energy above the most stable polymorph in this dataset is 0.0000 eV/atom.

***

Record 2
Entry from the Alexandria database: SmHgRh2 after structural relaxation (PBE-GGA).

Cell lengths 3.8070, 4.4377, 4.4377 Å; angles 90.00, 90.00, 90.00 degrees
Closest atoms and distances in Å follow each position.
Atoms (fractional coordinates):
Rh (0.0000, 0.0000, 0.5000)  4 Sm 2.92, 4 Hg 2.92, 4 Rh 3.14
Rh (0.0000, 0.5000, 0.0000)  4 Hg 2.92, 4 Sm 2.92, 4 Rh 3.14
Hg (0.5000, 0.0000, 0.0000)  8 Rh 2.92, 4 Sm 3.14
Sm (0.5000, 0.5000, 0.5000)  8 Rh 2.92, 4 Hg 3.14

Its crystal system is tetragonal.

***

These records have formation energy values of -79, -186 kJ/mol of formula units, in the order they appear.
These records have calculated density values of 11.03, 12.33 Mg/m³, in the order they appear.
These records have uncorrected energy values of -8.4093, -5.4139 eV per atom, in the order they appear.